Record 1
Entry from the Alexandria database: a geometry-optimized Mn2AgH2 structure (PBE-GGA). Values from VASP.

The structure in Quantum ESPRESSO input format:
```
&SYSTEM
  ibrav = 0, nat = 10, ntyp = 3
/
ATOMIC_SPECIES
Mn 54.94 Mn.upf
Ag 107.87 Ag.upf
H 1.01 H.upf
CELL_PARAMETERS angstrom
3.1884 0.0000 0.0000
0.0000 3.1884 0.0000
0.0000 0.0000 10.1323
ATOMIC_POSITIONS crystal
Mn 0.0000 0.0000 0.1623
Mn 0.0000 0.0000 0.8377
Mn 0.5000 0.5000 0.3377
Mn 0.5000 0.5000 0.6623
Ag 0.0000 0.0000 0.5000
Ag 0.5000 0.5000 0.0000
H 0.0000 0.5000 0.2500
H 0.0000 0.5000 0.7500
H 0.5000 0.0000 0.2500
H 0.5000 0.0000 0.7500
```

Results
E: -5.445 eV/atom
ρ: 7.09 g/cm³
space group: I4/mmm (139)

Record 2
Entry from the Alexandria database: a geometry-optimized AsOsS2Cl structure (PBE-GGA). Values from VASP.

The structure in Quantum ESPRESSO input format:
```
&SYSTEM
  ibrav = 0, nat = 5, ntyp = 4
/
ATOMIC_SPECIES
As 74.92 As.upf
Os 190.23 Os.upf
S 32.06 S.upf
Cl 35.45 Cl.upf
CELL_PARAMETERS angstrom
4.5822 0.0000 0.0000
0.0000 4.5822 0.0000
0.0000 0.0000 4.7831
ATOMIC_POSITIONS crystal
As 0.0000 0.0000 0.0000
Os 0.5000 0.5000 0.5000
S 0.0000 0.5000 0.5000
S 0.5000 0.0000 0.5000
Cl 0.5000 0.5000 0.0000
```

Results
E: -4.579 eV/atom
ρ: 6.03 g/cm³
space group: P4/mmm (123)

Record 3
Entry from the Alexandria database: a geometry-optimized Ni2AgS4 structure (PBE-GGA). Values from VASP.

The structure in Quantum ESPRESSO input format:
```
&SYSTEM
  ibrav = 0, nat = 14, ntyp = 3
/
ATOMIC_SPECIES
Ni 58.69 Ni.upf
Ag 107.87 Ag.upf
S 32.06 S.upf
CELL_PARAMETERS angstrom
-3.5021 3.5021 4.9342
3.5021 -3.5021 4.9342
3.5021 3.5021 -4.9342
ATOMIC_POSITIONS crystal
Ni 0.0000 0.0000 0.0000
Ni 0.0000 0.0000 0.5000
Ni 0.0000 0.5000 0.0000
Ni 0.5000 0.0000 0.5000
Ag 0.3750 0.6250 0.7500
Ag 0.6250 0.3750 0.2500
S 0.1946 0.2320 0.9625
S 0.2305 0.7680 0.4625
S 0.2320 0.1946 0.4625
S 0.2320 0.7695 0.0375
S 0.7680 0.2305 0.9625
S 0.7680 0.8054 0.5375
S 0.7695 0.2320 0.5375
S 0.8054 0.7680 0.0375
```

Results
E: -4.627 eV/atom
ρ: 4.85 g/cm³
space group: I4_1/amd (141)

Record 4
Entry from the Alexandria database: a geometry-optimized CaAsOs structure (PBE-GGA). Values from VASP.

The structure in Quantum ESPRESSO input format:
```
&SYSTEM
  ibrav = 0, nat = 12, ntyp = 3
/
ATOMIC_SPECIES
Ca 40.08 Ca.upf
As 74.92 As.upf
Os 190.23 Os.upf
CELL_PARAMETERS angstrom
6.4607 0.0000 0.0000
0.0000 6.4607 0.0000
0.0000 0.0000 6.4607
ATOMIC_POSITIONS crystal
Ca 0.0000 0.0000 0.0000
Ca 0.0000 0.5000 0.5000
Ca 0.5000 0.0000 0.5000
Ca 0.5000 0.5000 0.0000
As 0.2500 0.2500 0.2500
As 0.2500 0.7500 0.7500
As 0.7500 0.2500 0.7500
As 0.7500 0.7500 0.2500
Os 0.2500 0.2500 0.7500
Os 0.2500 0.7500 0.2500
Os 0.7500 0.2500 0.2500
Os 0.7500 0.7500 0.7500
```

Results
E: -4.803 eV/atom
ρ: 7.52 g/cm³
space group: F-43m (216)

Record 5
Entry from the Alexandria database: a geometry-optimized RbUPb2S6 structure (PBE-GGA). Values from VASP.

The structure in Quantum ESPRESSO input format:
```
&SYSTEM
  ibrav = 0, nat = 20, ntyp = 4
/
ATOMIC_SPECIES
Rb 85.47 Rb.upf
U 238.03 U.upf
Pb 207.20 Pb.upf
S 32.06 S.upf
CELL_PARAMETERS angstrom
7.0209 0.0000 0.0000
0.0000 8.5388 0.0000
-6.7168 0.0000 10.4595
ATOMIC_POSITIONS crystal
Rb 0.0000 0.0000 0.0000
Rb 0.0000 0.5000 0.5000
U 0.5000 0.0000 0.5000
U 0.5000 0.5000 0.0000
Pb 0.1861 0.0445 0.6919
Pb 0.1861 0.4555 0.1919
Pb 0.8139 0.5445 0.8081
Pb 0.8139 0.9555 0.3081
S 0.1602 0.1590 0.4758
S 0.1602 0.3410 0.9758
S 0.2284 0.7194 0.8713
S 0.2284 0.7806 0.3713
S 0.4375 0.1263 0.2998
S 0.4375 0.3737 0.7998
S 0.5625 0.6263 0.2002
S 0.5625 0.8737 0.7002
S 0.7716 0.2194 0.6287
S 0.7716 0.2806 0.1287
S 0.8398 0.6590 0.0242
S 0.8398 0.8410 0.5242
```

Results
E: -5.245 eV/atom
ρ: 4.93 g/cm³
space group: P2_1/c (14)

Record 6
Entry from the Alexandria database: a geometry-optimized Dy7Tm2Th2 structure (PBE-GGA). Values from VASP.

The structure in Quantum ESPRESSO input format:
```
&SYSTEM
  ibrav = 0, nat = 11, ntyp = 3
/
ATOMIC_SPECIES
Dy 162.50 Dy.upf
Tm 168.93 Tm.upf
Th 232.04 Th.upf
CELL_PARAMETERS angstrom
5.6256 -5.7317 0.0000
5.6256 5.7317 0.0000
-2.3783 0.0000 5.4894
ATOMIC_POSITIONS crystal
Dy 0.0000 0.0000 0.0000
Dy 0.0570 0.5937 0.8335
Dy 0.2366 0.2366 0.5902
Dy 0.4063 0.9430 0.1665
Dy 0.5937 0.0570 0.8335
Dy 0.7634 0.7634 0.4098
Dy 0.9430 0.4063 0.1665
Tm 0.4106 0.4106 0.1956
Tm 0.5894 0.5894 0.8044
Th 0.2134 0.7866 0.5000
Th 0.7866 0.2134 0.5000
```

Results
E: -4.898 eV/atom
ρ: 9.10 g/cm³
space group: C2/m (12)